[1]
# KYHf (GGA-PBE, optimized geometry)
# N(E_F) = 5.3 states/eV/f.u.
# Formation energy from the elements = 1201 meV per atom
# Crystal system = orthorhombic
# Calculated volume = 31.6 A^3/atom
# Energy relative to the lowest polymorph listed for this composition = 0.889 eV per atom
# ρ = 5.4 g/cm3
data_KYHf
_chemical_formula_sum 'K4 Y4 Hf4'
_symmetry_space_group_name_H-M 'C m c m'
_symmetry_Int_Tables_number 63
_symmetry_space_group_name_Hall '-C 2c 2'
_cell_length_a 5.621
_cell_length_b 9.770
_cell_length_c 6.912
_cell_angle_alpha 90.00
_cell_angle_beta 90.00
_cell_angle_gamma 90.00
loop_
_atom_site_label
_atom_site_type_symbol
_atom_site_fract_x
_atom_site_fract_y
_atom_site_fract_z
K1 K 0.000 0.168 0.250
Y1 Y 0.000 0.500 0.000
Hf1 Hf 0.000 0.165 0.750

---

[2]
# Sm2ZrTl2S6 (GGA-PBE, optimized geometry)
# N(E_F) = 0.0 states/eV/f.u.
# Formation energy (no corrections) = -1483 meV per atom
# Crystal system = monoclinic
# Calculated volume = 28.4 A^3/atom
# ρ = 5.3 g/cm3
data_Sm2ZrTl2S6
_chemical_formula_sum 'Sm4 Zr2 Tl4 S12'
_symmetry_space_group_name_H-M 'C 1 2/m 1'
_symmetry_Int_Tables_number 12
_cell_length_a 6.935
_cell_length_b 11.923
_cell_length_c 7.907
_cell_angle_alpha 90.00
_cell_angle_beta 107.25
_cell_angle_gamma 90.00
loop_
_symmetry_equiv_pos_as_xyz
'x,y,z'
'-x,-y,-z'
'-x,y,-z'
'x,-y,z'
'x+1/2,y+1/2,z'
'-x+1/2,-y+1/2,-z'
'-x+1/2,y+1/2,-z'
'x+1/2,-y+1/2,z'
loop_
_atom_site_label
_atom_site_type_symbol
_atom_site_fract_x
_atom_site_fract_y
_atom_site_fract_z
Sm1 Sm 0.000 0.167 0.000
Zr1 Zr 0.000 0.500 0.000
Tl1 Tl 0.000 0.331 0.500
S1 S 0.222 0.344 0.195
S2 S 0.242 0.500 0.803

---

[3]
# RbFe2RhCl8 (GGA-PBE, optimized geometry)
# Formation energy (no corrections) = -836 meV per atom
# Crystal system = trigonal
# Calculated volume = 33.3 A^3/atom
# ρ = 2.4 g/cm3
data_RbFe2RhCl8
_chemical_formula_sum 'Rb3 Fe6 Rh3 Cl24'
_symmetry_space_group_name_H-M 'R 3 2'
_symmetry_Int_Tables_number 155
_symmetry_space_group_name_Hall 'R 3 2"'
_cell_length_a 7.0054
_cell_length_b 7.0054
_cell_length_c 28.1687
_cell_angle_alpha 90.00
_cell_angle_beta 90.00
_cell_angle_gamma 120.00
loop_
_atom_site_label
_atom_site_type_symbol
_atom_site_fract_x
_atom_site_fract_y
_atom_site_fract_z
Rb1 Rb 0.0000 0.0000 0.0000
Fe1 Fe 0.0000 0.0000 0.2425
Rh1 Rh 0.0000 0.0000 0.5000
Cl1 Cl 0.0000 0.0000 0.3209
Cl2 Cl 0.0177 0.5026 0.1125

---

[4]
# Au5C (GGA-PBE, optimized geometry)
# N(E_F) = 3.6 states/eV/f.u.
# Formation energy from the elements = 966 meV per atom
# Crystal system = hexagonal
# Calculated volume = 16.9 A^3/atom
# Energy relative to the lowest polymorph listed for this composition = 0.331 eV per atom
# ρ = 16.3 g/cm3
data_Au5C
_chemical_formula_sum 'Au5 C1'
_symmetry_space_group_name_H-M 'P -6 2 m'
_symmetry_Int_Tables_number 189
_symmetry_space_group_name_Hall 'P -6 -2'
_cell_length_a 5.0330
_cell_length_b 5.0330
_cell_length_c 4.6299
_cell_angle_alpha 90.00
_cell_angle_beta 90.00
_cell_angle_gamma 120.00
loop_
_atom_site_label
_atom_site_type_symbol
_atom_site_fract_x
_atom_site_fract_y
_atom_site_fract_z
Au1 Au 0.0000 0.6772 0.0000
Au2 Au 0.3333 0.6667 0.5000
C1 C 0.0000 0.0000 0.5000

---

[5]
# CsZnAu3 (GGA-PBE, optimized geometry)
# N(E_F) = 1.5 states/eV/f.u.
# Formation energy from the elements = -186 meV per atom
# Crystal system = orthorhombic
# Calculated volume = 24.8 A^3/atom
# Energy relative to the lowest polymorph listed for this composition = 0.000 eV per atom
# ρ = 10.6 g/cm3
data_CsZnAu3
_chemical_formula_sum 'Cs2 Zn2 Au6'
_symmetry_space_group_name_H-M 'P m m n'
_symmetry_Int_Tables_number 59
_cell_length_a 4.064
_cell_length_b 6.838
_cell_length_c 8.912
_cell_angle_alpha 90.00
_cell_angle_beta 90.00
_cell_angle_gamma 90.00
loop_
_symmetry_equiv_pos_as_xyz
'x,y,z'
'-x,-y,-z'
'-x+1/2,-y+1/2,z'
'x+1/2,y+1/2,-z'
'x+1/2,-y,-z'
'-x+1/2,y,z'
'-x,y+1/2,-z'
'x,-y+1/2,z'
loop_
_atom_site_label
_atom_site_type_symbol
_atom_site_fract_x
_atom_site_fract_y
_atom_site_fract_z
Cs1 Cs 0.250 0.250 0.032
Zn1 Zn 0.250 0.250 0.447
Au1 Au 0.250 0.539 0.661
Au2 Au 0.250 0.750 0.327

---

[6]
# ErHgI3 (GGA-PBE, optimized geometry)
# N(E_F) = 0.0 states/eV/f.u.
# Formation energy (no corrections) = -958 meV per atom
# Crystal system = cubic
# Calculated volume = 43.2 A^3/atom
# Energy relative to the lowest polymorph listed for this composition = 0.132 eV per atom
# ρ = 5.8 g/cm3
data_ErHgI3
_chemical_formula_sum 'Er1 Hg1 I3'
_symmetry_space_group_name_H-M 'P m -3 m'
_symmetry_Int_Tables_number 221
_symmetry_space_group_name_Hall '-P 4 2 3'
_cell_length_a 5.999
_cell_length_b 5.999
_cell_length_c 5.999
_cell_angle_alpha 90.00
_cell_angle_beta 90.00
_cell_angle_gamma 90.00
loop_
_atom_site_label
_atom_site_type_symbol
_atom_site_fract_x
_atom_site_fract_y
_atom_site_fract_z
Er1 Er 0.000 0.000 0.000
Hg1 Hg 0.500 0.500 0.500
I1 I 0.000 0.000 0.500